# 1
# SrY2Ni, relaxed, DFT PBE-GGA
# E above lowest polymorph ... 92 meV/atom
# Volume ... 31.2 Å³/atom
# Formation energy from the elements ... 0.01 eV/atom
# Magnetic moment ... 0.0 μB/f.u.
data_SrY2Ni
_cell_length_a 12.154
_cell_length_b 3.712
_cell_length_c 6.525
_cell_angle_alpha 90.00
_cell_angle_beta 121.98
_cell_angle_gamma 90.00
_space_group_name_H-M_alt 'C 1 m 1'
_space_group_IT_number 8
_space_group_name_Hall 'C -2y'
loop_
_atom_site_label
_atom_site_fract_x
_atom_site_fract_y
_atom_site_fract_z
Sr1 0.000 0.000 0.000
Y1 0.178 0.000 0.680
Y2 0.364 0.000 0.363
Ni1 0.221 0.500 0.013

---

# 2
# SrY2Ni, relaxed, DFT PBE-GGA
# E above lowest polymorph ... 0 meV/atom
# Volume ... 33.7 Å³/atom
# Formation energy from the elements ... -0.09 eV/atom
# Magnetic moment ... 0.0 μB/f.u.
data_SrY2Ni
_cell_length_a 4.0093
_cell_length_b 4.0093
_cell_length_c 29.0605
_cell_angle_alpha 90.00
_cell_angle_beta 90.00
_cell_angle_gamma 120.00
_space_group_name_H-M_alt 'R -3 m'
_space_group_IT_number 166
_space_group_name_Hall '-R 3 2"'
loop_
_atom_site_label
_atom_site_fract_x
_atom_site_fract_y
_atom_site_fract_z
Sr1 0.0000 0.0000 0.0000
Y1 0.0000 0.0000 0.2161
Ni1 0.0000 0.0000 0.5000

---

Which value of volume does entry 2 give? 33.7 Å³/atom